Density functional theory data (PBE) for a relaxed DyNbAl2O8 crystal.

Lattice parameters (Å, degrees): 6.774 6.774 6.371 90.00 90.00 90.00
Space group I-4m2 (No. 119)
Unique sites:
Dy  0.000  0.000  0.000 [2 per cell]
Nb  0.000  0.500  0.250 [2 per cell]
Al  0.000  0.000  0.500 [2 per cell]
Al  0.000  0.500  0.750 [2 per cell]
O  0.000  0.204  0.326 [8 per cell]
O  0.000  0.323  0.950 [8 per cell]

Calculated values
energy	-7.63	eV per atom
DOS at the Fermi energy	10.01	states/eV/f.u.
uncorrected formation energy	-2.479	eV per atom
crystal system	tetragonal